(1)
Density functional theory data (GGA-PBE) for Ga2Mo7C2 after structural relaxation.

a b c (Å): 2.916 7.840 7.840
angles (deg): 60.61 79.28 79.28
Atoms (fractional coordinates):
Ga 0.000 0.737 0.263
Ga 0.500 0.370 0.630
Mo 0.826 0.082 0.266
Mo 0.840 0.422 0.899
Mo 0.500 0.036 0.964
Mo 0.650 0.440 0.260
Mo 0.350 0.740 0.560
Mo 0.174 0.734 0.918
Mo 0.160 0.101 0.578
C 0.732 0.864 0.672
C 0.268 0.328 0.136

* energy of formation from the pure elements: 0.0392 eV/atom
* spin magnetization: 0.00 μB/f.u.
* uncorrected energy: -9.08 eV/atom

---

(2)
Density functional theory data (GGA-PBE) for K5Cd3Au3 after structural relaxation.

a b c (Å): 5.409 10.134 10.134
angles (deg): 120.00 90.00 90.00
Atoms (fractional coordinates):
K 0.500 0.333 0.667
K 0.500 0.667 0.333
K 0.500 0.258 0.258
K 0.500 0.000 0.742
K 0.500 0.742 0.000
Cd 0.000 0.624 0.624
Cd 0.000 0.376 0.000
Cd 0.000 0.000 0.376
Au 0.500 0.628 0.628
Au 0.500 0.000 0.372
Au 0.500 0.372 0.000

* energy of formation from the pure elements: -0.1552 eV/atom
* spin magnetization: 0.00 μB/f.u.
* uncorrected energy: -1.80 eV/atom

---

(3)
Density functional theory data (GGA-PBE) for LaEr2Tm3 after structural relaxation.

a b c (Å): 9.394 9.394 11.470
angles (deg): 90.00 90.00 158.13
Atoms (fractional coordinates):
La 0.780 0.220 0.250
La 0.220 0.780 0.750
Er 0.000 0.000 0.000
Er 0.000 0.000 0.500
Er 0.447 0.553 0.250
Er 0.553 0.447 0.750
Tm 0.335 0.665 0.995
Tm 0.892 0.108 0.750
Tm 0.335 0.665 0.505
Tm 0.108 0.892 0.250
Tm 0.665 0.335 0.005
Tm 0.665 0.335 0.495

* energy of formation from the pure elements: 0.0219 eV/atom
* spin magnetization: 0.00 μB/f.u.
* uncorrected energy: -4.56 eV/atom

---

(4)
Density functional theory data (GGA-PBE) for BeVAu after structural relaxation.

a b c (Å): 6.300 3.040 5.116
angles (deg): 107.34 121.18 76.05
Atoms (fractional coordinates):
Be 0.104 0.195 0.700
Be 0.605 0.194 0.201
Au 0.425 0.564 0.757
Au 0.784 0.826 0.644
V 0.260 0.876 0.216
V 0.950 0.514 0.186

* energy of formation from the pure elements: -0.0377 eV/atom
* spin magnetization: 0.00 μB/f.u.
* uncorrected energy: -5.41 eV/atom

---

(5)
Density functional theory data (GGA-PBE) for YCd2S2 after structural relaxation.

a b c (Å): 3.737 3.737 8.874
angles (deg): 77.85 77.85 90.00
Atoms (fractional coordinates):
Y 0.000 0.000 0.000
S 0.415 0.415 0.171
S 0.585 0.585 0.829
Cd 0.750 0.250 0.500
Cd 0.250 0.750 0.500

* spin magnetization: 0.00 μB/f.u.
* uncorrected energy: -3.97 eV/atom

---

(6)
Density functional theory data (GGA-PBE) for Pb3NF after structural relaxation.

a b c (Å): 5.029 5.029 5.029
angles (deg): 90.00 90.00 90.00
Atoms (fractional coordinates):
Pb 0.000 0.500 0.000
Pb 0.000 0.000 0.500
Pb 0.500 0.000 0.000
N 0.000 0.000 0.000
F 0.500 0.500 0.500

* spin magnetization: 0.00 μB/f.u.
* uncorrected energy: -4.12 eV/atom